# 1
Material: SeI2OF
Method: DFT, GGA-PBE
State: relaxed

Lattice parameters (Å, degrees): 5.556 5.556 4.187 90.00 90.00 90.00
Space group P4/mmm (No. 123)
Symmetry-distinct sites (fractional):
1 Se 0.000 0.000 0.000 (multiplicity 1)
2 I 0.000 0.500 0.000 (multiplicity 2)
3 O 0.500 0.500 0.500 (multiplicity 1)
4 F 0.000 0.000 0.500 (multiplicity 1)

Properties
uncorrected energy = -2.22 eV/atom
total moment = 0.0000 μB per atom
energy relative to the elements, uncorrected = 0.46 eV/atom
crystal system = tetragonal

# 2
Material: YIn2Sn2
Method: DFT, GGA-PBE
State: relaxed

Lattice parameters (Å, degrees): 4.321 4.321 15.529 90.00 90.00 90.00
Space group I4/mmm (No. 139)
Symmetry-distinct sites (fractional):
1 Y 0.000 0.000 0.000 (multiplicity 2)
2 In 0.000 0.000 0.405 (multiplicity 4)
3 Sn 0.000 0.500 0.250 (multiplicity 4)

Properties
uncorrected energy = -4.02 eV/atom
total moment = 0.0000 μB per atom
crystal system = tetragonal

# 3
Material: Li2ReSi
Method: DFT, GGA-PBE
State: relaxed

Lattice parameters (Å, degrees): 2.659 4.697 4.375 90.00 95.07 90.00
Space group P2/m (No. 10)
Symmetry-distinct sites (fractional):
1 Li 0.203 0.000 0.238 (multiplicity 2)
2 Re 0.500 0.500 0.000 (multiplicity 1)
3 Si 0.000 0.500 0.500 (multiplicity 1)

Properties
uncorrected energy = -5.44 eV/atom
total moment = 0.0000 μB per atom
energy relative to the elements, uncorrected = -0.02 eV/atom
crystal system = monoclinic

# 4
Material: PaPbSe2O8
Method: DFT, GGA-PBE
State: relaxed

Lattice parameters (Å, degrees): 6.2140 6.2140 6.9696 90.00 90.00 120.00
Space group P-3m1 (No. 164)
Symmetry-distinct sites (fractional):
1 Pa 0.0000 0.0000 0.0000 (multiplicity 1)
2 Pb 0.0000 0.0000 0.5000 (multiplicity 1)
3 Se 0.3333 0.6667 0.7524 (multiplicity 2)
4 O 0.1545 0.3090 0.7993 (multiplicity 6)
5 O 0.3333 0.6667 0.5170 (multiplicity 2)

Properties
uncorrected energy = -6.41 eV/atom
total moment = 0.0000 μB per atom
energy relative to the elements, uncorrected = -1.42 eV/atom
crystal system = trigonal

Number 1: volume 25.85 Å³/atom. Number 2: volume 29.00 Å³/atom. Number 3: volume 13.61 Å³/atom. Number 4: volume 19.42 Å³/atom.